Record 1
PaInAgI6 | PBE | relaxed

```
PaInAgI6
1.0
7.7917 0.0000 0.0000
-3.8959 6.7478 0.0000
0.0000 0.0000 15.3966
In I Ag Pa
2 12 2 2
direct
0.0000 0.0000 0.0000
0.0000 0.0000 0.5000
0.0038 0.3598 0.6348
0.3598 0.0038 0.1348
0.3559 0.3598 0.8652
0.9962 0.3559 0.1348
0.6441 0.0038 0.3652
0.6441 0.6402 0.1348
0.0038 0.6441 0.8652
0.6402 0.9962 0.8652
0.3559 0.9962 0.6348
0.3598 0.3559 0.3652
0.9962 0.6402 0.3652
0.6402 0.6441 0.6348
0.3333 0.6667 0.2500
0.6667 0.3333 0.7500
0.3333 0.6667 0.7500
0.6667 0.3333 0.2500
```

Values from the calculation:
The formation energy (no corrections) comes out at -0.671 eV/atom. The calculation puts the magnetization at 0.112 μB/atom. As for the total energy: -3.380 eV/atom.

Record 2
PuTi4Zn5 | PBE | relaxed

```
PuTi4Zn5
1.0
3.0876 0.0000 0.0000
0.0000 3.0876 0.0000
0.0000 0.0000 17.4729
Ti Zn Pu
4 5 1
direct
0.0000 0.0000 0.2207
0.0000 0.0000 0.4075
0.0000 0.0000 0.5925
0.0000 0.0000 0.7793
0.5000 0.5000 0.5000
0.5000 0.5000 0.1275
0.5000 0.5000 0.6854
0.5000 0.5000 0.3146
0.5000 0.5000 0.8725
0.0000 0.0000 0.0000
```

Values from the calculation:
Its energy of formation is -0.15 eV per atom. The calculation puts the magnetization at 0.563 μB/atom. As for the total energy: -5.373 eV/atom.

Record 3
Hf3Be | PBE | relaxed

```
Hf3Be
1.0
3.1971 0.0000 0.0000
0.0000 4.8094 0.0000
-1.5985 -2.4047 4.9650
Hf Be
3 1
direct
0.5000 0.4167 0.0000
0.7113 0.1279 0.4226
0.2887 0.7053 0.5774
0.0000 0.9168 0.0000
```

Values from the calculation:
Its energy of formation is 0.06 eV per atom. The calculation puts the magnetization at 0.000 μB/atom. The calculation puts the excess energy over the best structure of this formula in the dataset at 0 meV per atom. As for the total energy: -8.337 eV/atom.

Record 4
NaAcNd | PBE | relaxed

```
NaAcNd
1.0
-3.0481 -0.3102 2.1958
-2.0844 -0.8734 -3.0168
4.2488 -7.5293 1.5990
Nd Ac Na
1 1 1
direct
0.6687 0.6687 0.3373
0.3269 0.3269 0.6538
0.0044 0.0044 0.0089
```

Values from the calculation:
Its energy of formation is 0.13 eV per atom. The calculation puts the magnetization at 0.000 μB/atom. The calculation puts the excess energy over the best structure of this formula in the dataset at 66 meV per atom. As for the total energy: -3.271 eV/atom.